Compound: PtW2Au
Source: Alexandria via LeMat-Bulk
Functional: PBE
Structure: relaxed

Cell: 6.421 6.421 6.421 Å, 90.00 90.00 90.00°
Element x y z (fractional)
Pt (0.000, 0.000, 0.000)
Pt (0.000, 0.500, 0.500)
Pt (0.500, 0.000, 0.500)
Pt (0.500, 0.500, 0.000)
W (0.250, 0.250, 0.250)
W (0.250, 0.250, 0.750)
W (0.250, 0.750, 0.250)
W (0.250, 0.750, 0.750)
W (0.750, 0.250, 0.250)
W (0.750, 0.250, 0.750)
W (0.750, 0.750, 0.250)
W (0.750, 0.750, 0.750)
Au (0.000, 0.000, 0.500)
Au (0.000, 0.500, 0.000)
Au (0.500, 0.000, 0.000)
Au (0.500, 0.500, 0.500)

Space-group type: Fm-3m
DFT total energy, eV per cell: -131.43
Total moment, μB/cell: 0.0